Entry 1:
Entry from Alexandria: a relaxed LiAcPrCo crystal (PBE).

Structure (extended XYZ):
```
4
Lattice="0.0000 3.6798 3.6798 3.6798 0.0000 3.6798 3.6798 3.6798 0.0000" Properties=species:S:1:pos:R:3 pbc="T T T"
Li 0.0000 0.0000 0.0000
Ac 5.5197 5.5197 5.5197
Pr 1.8399 1.8399 1.8399
Co 3.6798 3.6798 3.6798
```

Values from the calculation:
**DOS(E_F)**: 4.586 states/eV per cell
**ρ**: 7.23 g/cm3
**E_form**: 123 meV per atom
**SG**: F-43m

Entry 2:
Entry from Alexandria: a relaxed LiAcCoSb crystal (PBE).

Structure (extended XYZ):
```
4
Lattice="0.0000 3.4534 3.4534 3.4534 0.0000 3.4534 3.4534 3.4534 0.0000" Properties=species:S:1:pos:R:3 pbc="T T T"
Li 0.0000 0.0000 0.0000
Ac 5.1801 5.1801 5.1801
Co 3.4534 3.4534 3.4534
Sb 1.7267 1.7267 1.7267
```

Values from the calculation:
**Energy relative to the elements, uncorrected**: -0.3066 eV/atom
**ρ**: 8.36 g/cm3
**SG**: F-43m

Entry 3:
Entry from Alexandria: a relaxed LiAcTbCo crystal (PBE).

Structure (extended XYZ):
```
4
Lattice="0.0000 3.6178 3.6178 3.6178 0.0000 3.6178 3.6178 3.6178 0.0000" Properties=species:S:1:pos:R:3 pbc="T T T"
Li 0.0000 0.0000 0.0000
Ac 1.8089 1.8089 1.8089
Tb 5.4268 5.4268 5.4268
Co 3.6178 3.6178 3.6178
```

Values from the calculation:
**DOS(E_F)**: 3.867 states/eV per cell
**ρ**: 7.92 g/cm3
**E_form**: 83 meV per atom
**SG**: F-43m

Entry 4:
Entry from Alexandria: a relaxed LiAcTmCo crystal (PBE).

Structure (extended XYZ):
```
4
Lattice="0.0000 3.5881 3.5881 3.5881 0.0000 3.5881 3.5881 3.5881 0.0000" Properties=species:S:1:pos:R:3 pbc="T T T"
Li 0.0000 0.0000 0.0000
Ac 1.7940 1.7940 1.7940
Tm 5.3821 5.3821 5.3821
Co 3.5881 3.5881 3.5881
```

Values from the calculation:
**DOS(E_F)**: 3.757 states/eV per cell
**ρ**: 8.30 g/cm3
**E_form**: 65 meV per atom
**SG**: F-43m

Entry 5:
Entry from Alexandria: a relaxed LiAc2Zn6Co crystal (PBE).

Structure (extended XYZ):
```
10
Lattice="5.6237 -3.2520 0.0000 5.6237 3.2520 0.0000 -3.7352 0.0000 5.6227" Properties=species:S:1:pos:R:3 pbc="T T T"
Li 0.0000 0.0000 0.0000
Ac 0.0062 0.0000 3.7024
Ac 7.5058 0.0000 1.9203
Zn 2.1680 0.0000 1.0062
Zn 4.5497 1.3698 1.0038
Zn 2.9624 1.3698 4.6189
Zn 4.5497 -1.3698 1.0038
Zn 2.9624 -1.3698 4.6189
Zn 5.3441 0.0000 4.6165
Co 3.7560 0.0000 2.8114
```

Values from the calculation:
**DOS(E_F)**: 6.312 states/eV per cell
**ρ**: 7.37 g/cm3
**E_form**: -162 meV per atom
**SG**: C2/m

Entry 6:
Entry from Alexandria: a relaxed AcLu2Co crystal (PBE).

Structure (extended XYZ):
```
4
Lattice="3.4381 0.0000 0.0000 0.0000 3.4381 0.0000 0.0000 0.0000 9.0092" Properties=species:S:1:pos:R:3 pbc="T T T"
Ac 0.0000 0.0000 0.0000
Lu 1.7190 1.7190 2.9561
Lu 1.7190 1.7190 6.0531
Co 0.0000 0.0000 4.5046
```

Values from the calculation:
**DOS(E_F)**: 4.316 states/eV per cell
**ρ**: 9.92 g/cm3
**E_form**: -56 meV per atom
**SG**: P4/mmm
**Excess energy over the best structure of this formula in the dataset**: 0.000 eV/atom

Entry 7:
Entry from Alexandria: a relaxed AcLuCo crystal (PBE).

Structure (extended XYZ):
```
3
Lattice="-1.7505 1.7505 6.4949 1.7505 -1.7505 6.4949 1.7505 1.7505 -6.4949" Properties=species:S:1:pos:R:3 pbc="T T T"
Ac 0.0000 0.0000 0.0000
Lu 0.0000 0.0000 3.3418
Co 0.0000 0.0000 8.4321
```

Values from the calculation:
**DOS(E_F)**: 2.847 states/eV per cell
**ρ**: 9.61 g/cm3
**E_form**: 31 meV per atom
**SG**: I4mm

Entry 8:
Entry from Alexandria: a relaxed AcLuCo4 crystal (PBE).

Structure (extended XYZ):
```
6
Lattice="0.0000 3.6588 3.6588 3.6588 0.0000 3.6588 3.6588 3.6588 0.0000" Properties=species:S:1:pos:R:3 pbc="T T T"
Ac 0.0000 0.0000 0.0000
Lu 5.4883 5.4883 5.4883
Co 2.7542 2.7542 2.7542
Co 4.5635 4.5635 2.7542
Co 4.5635 2.7542 4.5635
Co 2.7542 4.5635 4.5635
```

Values from the calculation:
**DOS(E_F)**: 9.962 states/eV per cell
**ρ**: 10.81 g/cm3
**E_form**: -7 meV per atom
**SG**: F-43m

Entry 9:
Entry from Alexandria: a relaxed AcLu3Co crystal (PBE).

Structure (extended XYZ):
```
5
Lattice="5.2649 0.0000 0.0000 0.0000 5.2649 0.0000 0.0000 0.0000 5.2649" Properties=species:S:1:pos:R:3 pbc="T T T"
Ac 0.0000 0.0000 0.0000
Lu 0.0000 2.6324 2.6324
Lu 2.6324 0.0000 2.6324
Lu 2.6324 2.6324 0.0000
Co 2.6324 2.6324 2.6324
```

Values from the calculation:
**DOS(E_F)**: 5.853 states/eV per cell
**ρ**: 9.23 g/cm3
**E_form**: -97 meV per atom
**SG**: Pm-3m

Entry 10:
Entry from Alexandria: a relaxed AcLuCo2 crystal (PBE).

Structure (extended XYZ):
```
4
Lattice="3.4594 0.0000 0.0000 0.0000 3.4594 0.0000 0.0000 0.0000 6.9138" Properties=species:S:1:pos:R:3 pbc="T T T"
Ac 0.0000 0.0000 0.0000
Lu 0.0000 0.0000 3.4569
Co 1.7297 1.7297 1.9729
Co 1.7297 1.7297 4.9409
```

Values from the calculation:
**DOS(E_F)**: 2.997 states/eV per cell
**ρ**: 10.43 g/cm3
**E_form**: 44 meV per atom
**SG**: P4/mmm

Entry 11:
Entry from Alexandria: a relaxed AcLu2Co crystal (PBE).

Structure (extended XYZ):
```
4
Lattice="1.8601 1.0739 10.2947 -1.8601 1.0739 10.2947 0.0000 -2.1479 10.2947" Properties=species:S:1:pos:R:3 pbc="T T T"
Ac 0.0000 0.0000 0.0000
Lu 0.0000 0.0000 3.6948
Lu 0.0000 0.0000 27.1894
Co 0.0000 0.0000 15.4421
```

Values from the calculation:
**DOS(E_F)**: 2.345 states/eV per cell
**ρ**: 8.56 g/cm3
**E_form**: 85 meV per atom
**SG**: R-3m
**Excess energy over the best structure of this formula in the dataset**: 0.140 eV/atom

Entry 12:
Entry from Alexandria: a relaxed AcLuCoPd crystal (PBE).

Structure (extended XYZ):
```
4
Lattice="0.0000 3.5575 3.5575 3.5575 0.0000 3.5575 3.5575 3.5575 0.0000" Properties=species:S:1:pos:R:3 pbc="T T T"
Ac 0.0000 0.0000 0.0000
Lu 3.5575 3.5575 3.5575
Co 5.3362 5.3362 5.3362
Pd 1.7787 1.7787 1.7787
```

Values from the calculation:
**DOS(E_F)**: 2.815 states/eV per cell
**ρ**: 10.46 g/cm3
**E_form**: -309 meV per atom
**SG**: F-43m

Entry 13:
Entry from Alexandria: a relaxed AcLuCoRu crystal (PBE).

Structure (extended XYZ):
```
4
Lattice="0.0000 3.4788 3.4788 3.4788 0.0000 3.4788 3.4788 3.4788 0.0000" Properties=species:S:1:pos:R:3 pbc="T T T"
Ac 0.0000 0.0000 0.0000
Lu 3.4788 3.4788 3.4788
Co 5.2183 5.2183 5.2183
Ru 1.7394 1.7394 1.7394
```

Values from the calculation:
**DOS(E_F)**: 3.122 states/eV per cell
**ρ**: 11.08 g/cm3
**E_form**: -22 meV per atom
**SG**: F-43m

Entry 14:
Entry from Alexandria: a relaxed AcLuZnCo crystal (PBE).

Structure (extended XYZ):
```
4
Lattice="0.0000 3.5866 3.5866 3.5866 0.0000 3.5866 3.5866 3.5866 0.0000" Properties=species:S:1:pos:R:3 pbc="T T T"
Ac 0.0000 0.0000 0.0000
Lu 3.5866 3.5866 3.5866
Zn 1.7933 1.7933 1.7933
Co 5.3799 5.3799 5.3799
```

Values from the calculation:
**DOS(E_F)**: 3.022 states/eV per cell
**ρ**: 9.47 g/cm3
**E_form**: -54 meV per atom
**SG**: F-43m

Entry 15:
Entry from Alexandria: a relaxed Ac2MgCo crystal (PBE).

Structure (extended XYZ):
```
8
Lattice="2.0721 -7.8074 0.0000 2.0721 7.8074 0.0000 0.0000 0.0000 7.6848" Properties=species:S:1:pos:R:3 pbc="T T T"
Ac 2.0721 5.5095 3.8550
Ac 2.0721 5.5095 7.6723
Ac 2.0721 -5.5095 0.0126
Ac 2.0721 -5.5095 3.8298
Mg 2.0721 0.1967 1.9212
Mg 2.0721 -0.1967 5.7636
Co 2.0721 2.9240 1.9212
Co 2.0721 -2.9240 5.7636
```

Values from the calculation:
**DOS(E_F)**: 5.903 states/eV per cell
**ρ**: 7.18 g/cm3
**E_form**: -12 meV per atom
**SG**: Cmcm
**Excess energy over the best structure of this formula in the dataset**: 0.000 eV/atom

Entry 16:
Entry from Alexandria: a relaxed AcMg2Co crystal (PBE).

Structure (extended XYZ):
```
8
Lattice="4.2100 0.0000 0.0000 0.0000 8.4551 0.0000 -2.1025 0.0000 5.3246" Properties=species:S:1:pos:R:3 pbc="T T T"
Ac -0.0023 2.1138 0.6088
Ac 2.1098 6.3413 4.7157
Mg 0.0041 0.4998 3.5846
Mg 0.0041 3.7277 3.5846
Mg 2.1034 4.7273 1.7400
Mg 2.1034 7.9553 1.7400
Co -0.0006 6.3413 2.4452
Co 2.1081 2.1138 2.8794
```

Values from the calculation:
**DOS(E_F)**: 8.244 states/eV per cell
**ρ**: 5.86 g/cm3
**E_form**: -26 meV per atom
**SG**: P2_1/m

Entry 17:
Entry from Alexandria: a relaxed Ac9MgCo3 crystal (PBE).

Structure (extended XYZ):
```
26
Lattice="7.1299 0.0000 0.0000 0.0000 11.0694 0.0000 -1.6163 0.0000 12.3388" Properties=species:S:1:pos:R:3 pbc="T T T"
Ac 0.0575 2.7673 2.2985
Ac 0.5564 6.3018 4.5380
Ac 0.5564 10.3022 4.5380
Ac 0.0756 2.7673 10.4914
Ac 1.7129 6.0610 0.7043
Ac 1.7129 10.5430 0.7043
Ac 1.5641 2.7673 6.3565
Ac 1.3010 6.2296 8.4497
Ac 1.3010 10.3744 8.4497
Ac 4.2126 0.6950 3.8891
Ac 4.2126 4.8397 3.8891
Ac 3.9495 8.3020 5.9823
Ac 3.8007 0.5263 11.6344
Ac 3.8007 5.0084 11.6344
Ac 5.4380 8.3020 1.8474
Ac 4.9572 0.7672 7.8008
Ac 4.9572 4.7675 7.8008
Ac 5.4562 8.3020 10.0403
Mg 2.0508 8.3020 11.1008
Mg 3.4628 2.7673 1.2379
Co -0.8186 0.0214 10.2866
Co -0.8186 5.5133 10.2866
Co 2.7568 0.0000 6.1694
Co 2.7568 5.5347 6.1694
Co 6.3322 5.5561 2.0522
Co 6.3322 11.0480 2.0522
```

Values from the calculation:
**DOS(E_F)**: 28.996 states/eV per cell
**ρ**: 7.65 g/cm3
**E_form**: 30 meV per atom
**SG**: P2_1/m

Entry 18:
Entry from Alexandria: a relaxed Ac2MgCo crystal (PBE).

Structure (extended XYZ):
```
4
Lattice="2.0506 1.1839 10.5472 -2.0506 1.1839 10.5472 0.0000 -2.3678 10.5472" Properties=species:S:1:pos:R:3 pbc="T T T"
Ac 0.0000 0.0000 3.6909
Ac 0.0000 0.0000 27.9506
Mg 0.0000 0.0000 0.0000
Co 0.0000 0.0000 15.8207
```

Values from the calculation:
**DOS(E_F)**: 2.673 states/eV per cell
**ρ**: 5.81 g/cm3
**E_form**: 201 meV per atom
**SG**: R-3m
**Excess energy over the best structure of this formula in the dataset**: 0.213 eV/atom

Entry 19:
Entry from Alexandria: a relaxed Ac12MgCo6 crystal (PBE).

Structure (extended XYZ):
```
19
Lattice="-5.3298 5.3298 5.3298 5.3298 -5.3298 5.3298 5.3298 5.3298 -5.3298" Properties=species:S:1:pos:R:3 pbc="T T T"
Ac 5.3298 3.3162 -1.9889
Ac 3.3409 0.0000 2.0135
Ac 7.3186 0.0000 2.0135
Ac 2.0135 3.3409 0.0000
Ac 3.3162 -1.9889 5.3298
Ac 5.3298 3.3162 1.9889
Ac 0.0000 2.0135 3.3409
Ac 2.0135 7.3186 0.0000
Ac 3.3162 1.9889 5.3298
Ac -1.9889 5.3298 3.3162
Ac 1.9889 5.3298 3.3162
Ac 0.0000 2.0135 7.3186
Mg 0.0000 0.0000 0.0000
Co 5.3298 1.1494 0.0000
Co 5.3298 0.0000 4.1804
Co 4.1804 5.3298 0.0000
Co 1.1494 0.0000 5.3298
Co 0.0000 5.3298 1.1494
Co 0.0000 4.1804 5.3298
```

Values from the calculation:
**DOS(E_F)**: 18.746 states/eV per cell
**ρ**: 8.51 g/cm3
**E_form**: -41 meV per atom
**SG**: Im-3

Entry 20:
Entry from Alexandria: a relaxed Ac6MgCo2 crystal (PBE).

Structure (extended XYZ):
```
18
Lattice="-5.1126 5.3791 5.4643 5.1126 -5.3791 5.4643 5.1126 5.3791 -5.4643" Properties=species:S:1:pos:R:3 pbc="T T T"
Ac 5.1126 3.2183 -2.9486
Ac 2.9546 1.9351 0.0000
Ac 7.2706 1.9351 0.0000
Ac 1.8578 5.3791 -1.9314
Ac 3.2548 0.0000 3.5329
Ac 0.0000 2.1608 2.5157
Ac 5.1126 3.2183 2.9486
Ac 1.8578 5.3791 1.9314
Ac 3.2548 0.0000 7.3957
Ac -2.1580 3.4440 5.4643
Ac 2.1580 3.4440 5.4643
Ac 0.0000 2.1608 8.4129
Mg 0.0000 0.0000 0.0000
Mg 0.0000 0.0000 5.4643
Co 5.1126 0.0000 1.1800
Co 0.0000 3.4662 0.0000
Co 0.0000 7.2921 0.0000
Co 0.0000 5.3791 4.2843
```

Values from the calculation:
**DOS(E_F)**: 15.909 states/eV per cell
**ρ**: 8.31 g/cm3
**E_form**: -17 meV per atom
**SG**: Immm